Entry 1:
NaPm3I8: optimized geometry, PBE-GGA.

Properties
- total magnetization (μB/f.u.) = 0.01
- ΔE_f (raw) (eV/atom) = -1.31

```
data_NaPm3I8
_chemical_formula_sum 'Na3 Pm9 I24'
_cell_length_a 8.6686
_cell_length_b 8.6686
_cell_length_c 23.3994
_cell_angle_alpha 90.00
_cell_angle_beta 90.00
_cell_angle_gamma 120.00
_space_group_name_H-M_alt 'R -3 m'
_space_group_IT_number 166
_space_group_name_Hall '-R 3 2"'
loop_
_atom_site_label
_atom_site_fract_x
_atom_site_fract_y
_atom_site_fract_z
Na1 0.0000 0.0000 0.0000
Pm1 0.0000 0.5000 0.5000
I1 0.0000 0.0000 0.2510
I2 0.0055 0.5028 0.2471
```

---

Entry 2:
PmTi2V: optimized geometry, PBE-GGA.

Properties
- formation enthalpy at 0 K (eV/atom) = 0.198
- total magnetization (μB/f.u.) = 0.00

```
data_PmTi2V
_chemical_formula_sum 'Pm1 Ti2 V1'
_cell_length_a 3.236
_cell_length_b 3.236
_cell_length_c 7.591
_cell_angle_alpha 90.00
_cell_angle_beta 90.00
_cell_angle_gamma 90.00
_space_group_name_H-M_alt 'P 4/m m m'
_space_group_IT_number 123
_space_group_name_Hall '-P 4 2'
loop_
_atom_site_label
_atom_site_fract_x
_atom_site_fract_y
_atom_site_fract_z
Pm1 0.000 0.000 0.000
Ti1 0.500 0.500 0.314
V1 0.000 0.000 0.500
```

---

Entry 3:
Ho2TmAg: optimized geometry, PBE-GGA.

Properties
- formation enthalpy at 0 K (eV/atom) = -0.130
- total magnetization (μB/f.u.) = 0.00
- energy relative to the lowest polymorph listed for this composition (eV per formula unit) = 0.00

```
data_Ho2TmAg
_chemical_formula_sum 'Ho2 Tm1 Ag1'
_cell_length_a 3.531
_cell_length_b 3.531
_cell_length_c 8.793
_cell_angle_alpha 90.00
_cell_angle_beta 90.00
_cell_angle_gamma 90.00
_space_group_name_H-M_alt 'P 4/m m m'
_space_group_IT_number 123
_space_group_name_Hall '-P 4 2'
loop_
_atom_site_label
_atom_site_fract_x
_atom_site_fract_y
_atom_site_fract_z
Ho1 0.000 0.000 0.218
Tm1 0.500 0.500 0.500
Ag1 0.500 0.500 0.000
```

---

For the records above, the corresponding total energy values read -131.11, -28.87, -17.00 eV/cell.